Below is a geometry-optimized NaTiPS2 structure, with properties calculated at the PBE level.

a b c (Å): 4.7400 4.7400 4.6667
angles (deg): 90.00 90.00 90.00
Closest atoms and distances in Å follow each position.
Space group P4/mmm (No. 123)
Asymmetric unit:
Na (0.0000, 0.0000, 0.0000)  2 P 2.33, 4 S 2.37
Ti (0.5000, 0.5000, 0.5000)  8 S 3.33, 4 P 3.35
P (0.0000, 0.0000, 0.5000)  2 Na 2.33
S (0.0000, 0.5000, 0.0000)  2 Na 2.37

N(E_F) (states/eV/cell): 7.050
Formation energy from raw total energies (eV per formula unit): 4.78